Record 1
Here is a geometry-optimized LiSc2OsI structure from the Alexandria database. Energies are from GGA-PBE.

extended XYZ file:
```
5
Lattice="-3.152 -1.922 -3.106 -1.142 -2.917 2.964 -3.421 2.989 1.623" Properties=species:S:1:pos:R:3 pbc="T T T"
Li 0.000 0.000 0.000
Os -3.858 -0.925 0.741
I -0.571 -1.458 1.482
Sc -1.576 -0.961 -1.553
Sc -1.711 1.495 0.811
```

***

Record 2
Here is a geometry-optimized LiTe2OsI structure from the Alexandria database. Energies are from GGA-PBE.

Calculated values
Polymorph energy (0 for the lowest one): 0.8883 eV per atom

extended XYZ file:
```
5
Lattice="-3.993 -0.655 -2.675 2.736 -1.478 -3.722 -0.323 -4.735 1.642" Properties=species:S:1:pos:R:3 pbc="T T T"
Te 1.368 -0.739 -1.861
Os -0.790 -3.434 -2.377
I -0.162 -2.367 0.821
Te -1.996 -0.328 -1.337
Li 0.000 0.000 0.000
```

***

Record 3
Here is a geometry-optimized LiTeOsI2 structure from the Alexandria database. Energies are from GGA-PBE.

Calculated values
Polymorph energy (0 for the lowest one): 0.9124 eV per atom

extended XYZ file:
```
5
Lattice="-2.493 3.428 -2.941 -4.190 -0.502 2.967 1.771 4.017 3.180" Properties=species:S:1:pos:R:3 pbc="T T T"
I -1.247 1.714 -1.471
I -2.095 -0.251 1.484
Os -2.457 3.472 1.603
Li 0.000 0.000 0.000
Te 0.885 2.009 1.590
```

***

Looking at Fermi-level density of states for the records above, in order, we have 1.491 0.715 1.404 states/eV/atom.
Looking at ρ for the records above, in order, we have 6.85 8.14 6.66 Mg/m³.
Looking at calculated total energy for the records above, in order, we have -4.54 -2.95 -2.68 eV/atom.